Entry from the Alexandria database: a geometry-optimized Rb3BaNi2F9 structure (PBE+U).

POSCAR file:
```
Rb3BaNi2F9
1.0
6.102 0.000 0.000
-3.051 5.285 0.000
0.000 0.000 8.143
Rb Ba Ni F
3 1 2 9
direct
0.000 0.000 0.000
0.333 0.667 0.723
0.667 0.333 0.277
0.000 0.000 0.500
0.333 0.667 0.147
0.667 0.333 0.853
0.000 0.500 0.000
0.179 0.358 0.290
0.179 0.821 0.290
0.358 0.179 0.710
0.500 0.000 0.000
0.500 0.500 0.000
0.642 0.821 0.290
0.821 0.179 0.710
0.821 0.642 0.710
```

Calculated total energy, eV per atom: -4.5123